# 1
The following is a DFT calculation (PBE-GGA) of a geometry-optimized BaNaLiMg structure.

Cell lengths 5.799, 5.799, 5.799 Å; angles 60.00, 60.00, 60.00 degrees
Atoms (fractional coordinates):
Ba 0.750 0.750 0.750
Mg 0.250 0.250 0.250
Li 0.500 0.500 0.500
Na 0.000 0.000 0.000

Energy relative to the elements = 64 meV/atom
Magnetization = 0.00 μB per formula unit

=====

# 2
The following is a DFT calculation (PBE-GGA) of a geometry-optimized Ba2NaLi5Mg2 structure.

Cell lengths 4.087, 12.494, 12.494 Å; angles 90.00, 90.00, 90.00 degrees
Atoms (fractional coordinates):
Ba 0.000 0.323 0.823
Li 0.500 0.439 0.293
Mg 0.000 0.617 0.883
Li 0.500 0.939 0.207
Li 0.500 0.207 0.061
Mg 0.000 0.883 0.383
Li 0.500 0.000 0.500
Mg 0.000 0.383 0.117
Li 0.500 0.793 0.939
Li 0.500 0.061 0.793
Li 0.500 0.293 0.561
Li 0.500 0.707 0.439
Na 0.000 0.000 0.000
Li 0.500 0.561 0.707
Li 0.500 0.500 0.000
Ba 0.000 0.177 0.323
Mg 0.000 0.117 0.617
Ba 0.000 0.677 0.177
Ba 0.000 0.823 0.677
Na 0.000 0.500 0.500

Energy relative to the elements = 61 meV/atom
Magnetization = 0.00 μB per formula unit